Record 1
An optimized crystal structure of LiPmNdTl. Source: Alexandria, functional PBE-GGA.

The structure in POSCAR format:
```
LiPmNdTl
1.0
5.4352 0.0000 0.0000
2.7176 4.7070 0.0000
2.7176 1.5690 4.4378
Li Pm Tl Nd
1 1 1 1
Cartesian
0.0000 0.0000 0.0000
8.1527 4.7070 3.3283
5.4352 3.1380 2.2189
2.7176 1.5690 1.1094
```

Results
**Symmetry**: F-43m (216)

=====

Record 2
An optimized crystal structure of LiPmNdY. Source: Alexandria, functional PBE-GGA.

The structure in POSCAR format:
```
LiPmNdY
1.0
-5.5994 0.1497 0.2294
-2.6926 -2.3558 4.3161
-2.5645 3.2252 3.8013
Pm Li Y Nd
1 1 1 1
Cartesian
-5.4282 0.5095 4.1734
0.0000 0.0000 0.0000
-2.7141 0.2548 2.0867
-8.1423 0.7643 6.2601
```

Results
**Symmetry**: F-43m (216)

=====

Record 3
An optimized crystal structure of LiPrNd2. Source: Alexandria, functional PBE-GGA.

The structure in POSCAR format:
```
LiPrNd2
1.0
-2.8192 3.3489 -3.6172
0.4931 -0.8167 -5.5979
-4.3783 -2.0722 -2.9636
Li Nd Pr
1 2 1
Cartesian
-3.3522 0.2300 -6.0894
-5.0283 0.3450 -9.1340
-1.6761 0.1150 -3.0447
0.0000 0.0000 0.0000
```

Results
**Symmetry**: Fm-3m (225)

=====

Record 4
An optimized crystal structure of LiPrNd2. Source: Alexandria, functional PBE-GGA.

The structure in POSCAR format:
```
LiPrNd2
1.0
3.6271 -0.0002 0.0004
1.8134 3.1413 0.0004
1.8146 1.0477 11.5739
Nd Li Pr
2 1 1
Cartesian
1.8134 1.0469 8.8226
1.8136 1.0471 2.7456
5.4425 3.1422 11.5712
3.6280 2.0946 5.7964
```

Results
**Symmetry**: R3m (160)

=====

Record 5
An optimized crystal structure of LiPr2Nd. Source: Alexandria, functional PBE-GGA.

The structure in POSCAR format:
```
LiPr2Nd
1.0
-3.6660 0.2610 0.5188
0.3204 -1.8563 3.1981
1.2142 8.0307 4.5398
Pr Li Nd
2 1 1
Cartesian
0.9419 6.2294 3.5215
0.2724 1.8014 1.0183
-1.6728 -0.7977 1.8584
-1.0657 3.2177 4.1283
```

Results
**Symmetry**: P4/mmm (123)

=====

Record 6
An optimized crystal structure of LiPrNd2. Source: Alexandria, functional PBE-GGA.

The structure in POSCAR format:
```
LiPrNd2
1.0
3.7344 0.0000 0.0000
0.0000 5.8760 0.0000
0.0000 0.0000 5.8760
Nd Li Pr
2 1 1
Cartesian
0.0000 0.0000 2.9380
0.0000 2.9380 0.0000
1.8672 0.0000 0.0000
1.8672 2.9380 2.9380
```

Results
**Symmetry**: P4/mmm (123)

=====

Record 7
An optimized crystal structure of LiPrNd4. Source: Alexandria, functional PBE-GGA.

The structure in POSCAR format:
```
LiPrNd4
1.0
3.6819 -0.2963 0.0196
0.2978 3.6819 0.0231
-0.0872 -0.0872 14.5496
Li Nd Pr
1 4 1
Cartesian
0.1053 1.7973 7.2863
2.1061 3.5013 5.2319
3.8138 1.5277 2.6752
1.7863 -0.2029 9.3603
0.0787 1.7706 11.9170
1.8409 -0.1482 0.0098
```

Results
**Symmetry**: P4/mmm (123)

=====

Record 8
An optimized crystal structure of LiPr3Nd12. Source: Alexandria, functional PBE-GGA.

The structure in POSCAR format:
```
LiPr3Nd12
1.0
-2.1266 -3.5098 -3.1803
3.7399 0.8949 -3.4883
11.5375 -14.7664 8.5814
Nd Pr Li
12 3 1
Cartesian
0.3350 -3.5446 -0.5501
6.1766 -5.0645 1.4591
3.2682 -1.3422 -0.7041
9.0758 -14.7316 5.9512
6.1675 -11.0094 3.7880
9.5377 -12.4820 3.1597
3.6131 -4.8993 -1.2469
9.1007 -8.8070 3.6340
6.5754 -8.6907 0.9564
3.2433 -7.2668 1.6131
12.0091 -12.5293 5.7972
0.8066 -1.3075 -3.3343
5.7687 -7.3832 4.2907
8.7055 -11.1419 6.4750
2.8320 -3.6245 2.1064
0.0000 0.0000 0.0000
```

Results
**Symmetry**: P4/mmm (123)

=====

Record 9
An optimized crystal structure of LiPr2Nd. Source: Alexandria, functional PBE-GGA.

The structure in POSCAR format:
```
LiPr2Nd
1.0
-0.2254 -3.1990 1.6523
2.1870 2.5546 1.3060
-9.0290 4.2011 6.9022
Li Pr Nd
1 2 1
Cartesian
-4.1554 0.9216 5.1559
-1.7028 -0.2196 3.2809
-5.4760 3.8281 6.6647
-0.0754 0.0351 0.0576
```

Results
**Symmetry**: P3m1 (156)

=====

Record 10
An optimized crystal structure of LiPr12Nd3. Source: Alexandria, functional PBE-GGA.

The structure in POSCAR format:
```
LiPr12Nd3
1.0
-2.5624 -4.2612 1.5772
4.0488 -1.3195 3.0130
-8.1931 10.7431 15.7141
Nd Pr Li
3 12 1
Cartesian
-6.1817 8.1057 11.8563
-2.0114 2.6374 3.8578
-4.0966 5.3715 7.8570
-4.3387 1.8784 6.6527
0.7432 -2.7903 2.2951
-3.1113 6.0743 11.3565
-6.4169 4.6034 10.6386
-3.3534 2.5812 10.1522
-1.0331 3.3493 7.3707
-5.4538 5.3353 14.1806
-8.4795 7.3080 14.5947
-1.2530 -0.1729 6.1237
1.0296 0.6447 3.4145
-5.1739 8.7789 15.3126
-2.2760 -0.8262 2.6966
0.0000 0.0000 0.0000
```

Results
**Symmetry**: P4/mmm (123)

=====

Record 11
An optimized crystal structure of LiPr2Nd. Source: Alexandria, functional PBE-GGA.

The structure in POSCAR format:
```
LiPr2Nd
1.0
-0.6927 3.1709 -1.5149
-3.0182 0.4700 -1.8706
-7.1589 4.9309 9.3603
Pr Nd Li
2 1 1
Cartesian
-5.2757 4.6231 -0.6138
-5.5941 3.9486 6.5887
-5.4349 4.2859 2.9874
0.0000 0.0000 0.0000
```

Results
**Symmetry**: R-3m (166)

=====

Record 12
An optimized crystal structure of LiPrNd. Source: Alexandria, functional PBE-GGA.

The structure in POSCAR format:
```
LiPrNd
1.0
-2.1351 1.6553 2.3812
-1.2019 -2.8781 -1.8002
2.9407 -5.0908 6.1756
Pr Nd Li
1 1 1
Cartesian
-0.8648 -1.5164 3.0018
0.4707 -4.8010 3.7594
2.9385 -5.0870 6.1710
```

Results
**Symmetry**: P3m1 (156)

=====

Record 13
An optimized crystal structure of LiPrNd. Source: Alexandria, functional PBE-GGA.

The structure in POSCAR format:
```
LiPrNd
1.0
3.6948 0.0003 0.3590
-0.0351 3.6947 0.3590
-1.2837 -1.2961 13.2319
Nd Li Pr
2 2 2
Cartesian
0.7890 0.7966 1.4712
1.5869 1.6022 12.4786
2.0408 2.0605 7.8022
0.3352 0.3384 6.1477
0.0006 0.0006 9.6179
2.3754 2.3983 4.3319
```

Results
**Symmetry**: P4/nmm (129)

=====

Record 14
An optimized crystal structure of LiPrNd2. Source: Alexandria, functional PBE-GGA.

The structure in POSCAR format:
```
LiPrNd2
1.0
3.5734 0.0000 0.0000
1.7867 3.0946 0.0000
1.7867 1.0315 12.5764
Pr Nd Li
1 2 1
Cartesian
3.5734 2.0631 6.2882
5.3600 3.0946 3.3185
1.7867 1.0315 9.2579
0.0000 0.0000 0.0000
```

Results
**Symmetry**: R-3m (166)

=====

Record 15
An optimized crystal structure of LiPr5Nd4. Source: Alexandria, functional PBE-GGA.

The structure in POSCAR format:
```
LiPr5Nd4
1.0
3.7039 0.0000 0.0000
0.0000 3.7038 0.0000
0.0000 0.0000 25.0672
Pr Li Nd
5 1 4
Cartesian
1.8520 1.8519 7.2868
1.8520 1.8519 2.1102
1.8520 1.8519 12.5336
1.8520 1.8519 22.9570
1.8520 1.8519 17.7804
0.0000 0.0000 0.0000
0.0000 0.0000 15.1547
0.0000 0.0000 4.6631
0.0000 0.0000 9.9125
0.0000 0.0000 20.4041
```

Results
**Symmetry**: P4/mmm (123)

=====

Record 16
An optimized crystal structure of LiPrNd2. Source: Alexandria, functional PBE-GGA.

The structure in POSCAR format:
```
LiPrNd2
1.0
3.5972 0.0000 0.0000
-1.7986 3.1153 0.0000
0.0000 0.0000 12.0797
Li Nd Pr
1 2 1
Cartesian
1.7986 1.0384 6.3334
1.7986 1.0384 3.0652
0.0000 2.0768 9.1627
0.0000 0.0000 0.1019
```

Results
**Symmetry**: P3m1 (156)

=====

Record 17
An optimized crystal structure of LiPrNd2. Source: Alexandria, functional PBE-GGA.

The structure in POSCAR format:
```
LiPrNd2
1.0
3.7433 0.0000 0.0000
0.0000 3.7433 0.0000
0.0000 0.0000 9.0654
Nd Li Pr
2 1 1
Cartesian
0.0000 0.0000 2.0114
0.0000 0.0000 7.0540
1.8717 1.8717 0.0000
1.8717 1.8717 4.5327
```

Results
**Symmetry**: P4/mmm (123)

=====

Record 18
An optimized crystal structure of LiPrNd. Source: Alexandria, functional PBE-GGA.

The structure in POSCAR format:
```
LiPrNd
1.0
3.7935 0.0000 0.0000
0.0000 3.7935 0.0000
-1.8967 -1.8967 6.4003
Pr Li Nd
1 1 1
Cartesian
0.0000 0.0000 4.0980
1.8967 1.8967 2.1243
0.0000 0.0000 0.1780
```

Results
**Symmetry**: I4mm (107)

=====

Record 19
An optimized crystal structure of LiPr2Nd. Source: Alexandria, functional PBE-GGA.

The structure in POSCAR format:
```
LiPr2Nd
1.0
3.6445 -0.0004 -0.0002
1.8219 3.1564 -0.0002
1.8216 1.0517 11.5807
Pr Nd Li
2 1 1
Cartesian
1.8219 1.0519 2.7686
1.8206 1.0511 8.8092
3.6446 2.1042 5.7990
5.4667 3.1562 11.5746
```

Results
**Symmetry**: R3m (160)

=====

Record 20
An optimized crystal structure of LiPr2Nd. Source: Alexandria, functional PBE-GGA.

The structure in POSCAR format:
```
LiPr2Nd
1.0
-5.2248 1.8204 1.3427
-4.5267 -3.2698 -1.1105
-2.8582 -2.4504 4.2710
Pr Li Nd
2 1 1
Cartesian
-3.1524 -0.9749 1.1258
-9.4573 -2.9248 3.3774
0.0000 0.0000 0.0000
-6.3048 -1.9499 2.2516
```

Results
**Symmetry**: Fm-3m (225)

=====

Result set for total moment: 0.00, 0.00, 0.00, 0.00, 0.00, 0.00, 0.00, 0.00, 0.00, 0.00, 0.00, 0.00, 0.00, 0.00, 0.00, 0.00, 0.00, 0.36, 0.00, 0.00 μB/f.u., one per record in the order listed.
Result set for energy of formation from the pure elements: -0.81, 0.77, 0.77, 0.40, 0.22, 0.51, 0.27, 0.74, 0.50, 0.68, 0.68, 0.29, 0.11, 0.72, 0.27, 0.53, 0.25, 0.23, 0.36, 0.71 eV per formula unit, one per record in the order listed.